Entry 1:
The following is a DFT calculation (PBE) of a relaxed Nd7Sm3Th crystal.

POSCAR file:
```
Nd7Sm3Th
1.0
-2.6144 -2.1124 -8.1146
-0.4651 -6.9784 1.9665
-5.7605 4.3683 0.7188
Nd Sm Th
7 3 1
direct
0.1182 0.1696 0.3392
0.4527 0.3344 0.1672
0.1182 0.6608 0.8304
0.1172 0.6667 0.3333
0.4527 0.8328 0.6656
0.1182 0.1696 0.8304
0.4527 0.8328 0.1672
0.7784 0.4971 0.9941
0.7784 0.4971 0.5029
0.7784 0.0059 0.5029
0.4498 0.3333 0.6667
```

Computed properties:
energy relative to the lowest polymorph listed for this composition = 0.85 kcal/mol of atoms
spin magnetization = 0.00 μB per cell
formation enthalpy at 0 K = 0.18 eV per atom
symmetry = P3m1, No. 156

***

Entry 2:
The following is a DFT calculation (PBE) of a relaxed MgZrTc2 crystal.

POSCAR file:
```
MgZrTc2
1.0
2.8561 -0.0032 0.0000
-0.9899 2.6790 0.0000
0.0000 0.0000 8.9300
Tc Mg Zr
2 1 1
direct
0.0000 0.0000 0.4980
0.0000 0.0000 0.0020
0.5000 0.5000 0.7500
0.5000 0.5000 0.2500
```

Computed properties:
spin magnetization = 0.00 μB per cell
formation enthalpy at 0 K = 0.10 eV per atom
symmetry = Cmmm, No. 65

***

Entry 3:
The following is a DFT calculation (PBE) of a relaxed Cs2NiS2 crystal.

POSCAR file:
```
Cs2NiS2
1.0
-4.9745 -8.9290 -0.7563
1.8365 -1.8624 9.9098
-2.8256 1.5058 0.8066
Cs Ni S
4 2 4
direct
0.3664 0.8664 0.0000
0.1336 0.3664 0.0000
0.8664 0.6336 0.0000
0.6336 0.1336 0.0000
0.5000 0.5000 0.0000
0.0000 0.0000 0.0000
0.8350 0.3350 0.5000
0.1650 0.6650 0.5000
0.3350 0.1650 0.5000
0.6650 0.8350 0.5000
```

Computed properties:
spin magnetization = 2.52 μB per cell
symmetry = P4/mbm, No. 127
uncorrected formation energy = 0.448 eV per atom

***

Entry 4:
The following is a DFT calculation (PBE) of a relaxed LaGeTeN2 crystal.

POSCAR file:
```
LaGeTeN2
1.0
4.2670 0.0000 0.0000
0.0000 4.2670 0.0000
0.0000 0.0000 5.3336
N La Ge Te
2 1 1 1
direct
0.5000 0.0000 0.0000
0.0000 0.5000 0.0000
0.5000 0.5000 0.5000
0.0000 0.0000 0.0000
0.0000 0.0000 0.5000
```

Computed properties:
energy relative to the lowest polymorph listed for this composition = 0.00 kcal/mol of atoms
spin magnetization = 1.10 μB per cell
symmetry = P4/mmm, No. 123
uncorrected formation energy = 0.474 eV per atom

***

Repeat the fourth record exactly.
The following is a DFT calculation (PBE) of a relaxed LaGeTeN2 crystal.

POSCAR file:
```
LaGeTeN2
1.0
4.2670 0.0000 0.0000
0.0000 4.2670 0.0000
0.0000 0.0000 5.3336
N La Ge Te
2 1 1 1
direct
0.5000 0.0000 0.0000
0.0000 0.5000 0.0000
0.5000 0.5000 0.5000
0.0000 0.0000 0.0000
0.0000 0.0000 0.5000
```

Computed properties:
energy relative to the lowest polymorph listed for this composition = 0.00 kcal/mol of atoms
spin magnetization = 1.10 μB per cell
symmetry = P4/mmm, No. 123
uncorrected formation energy = 0.474 eV per atom

***

Q: What is the spin magnetization in the first record?
A: 0.00 μB per cell

***

Q: Which value of spin magnetization does entry 4 give?
A: 1.10 μB per cell